# TmZrBeOs, relaxed, DFT PBE
data_TmZrBeOs
_chemical_formula_sum 'Tm4 Zr4 Be4 Os4'
_cell_length_a 6.619
_cell_length_b 6.619
_cell_length_c 6.619
_cell_angle_alpha 90.00
_cell_angle_beta 90.00
_cell_angle_gamma 90.00
_space_group_name_H-M_alt 'F -4 3 m'
_space_group_IT_number 216
_space_group_name_Hall 'F -4 2 3'
loop_
_atom_site_label
_atom_site_fract_x
_atom_site_fract_y
_atom_site_fract_z
_atom_site_occupancy
Tm1 0.000 0.000 0.000 1
Zr1 0.000 0.000 0.500 1
Be1 0.250 0.250 0.250 1
Os1 0.250 0.250 0.750 1
# * total magnetic moment: 0.0 μB/f.u.
# * calculated formation energy: -0.19 eV/atom